Material: TiInFe2O6
Method: DFT, PBE+U
State: relaxed

Structure (extended XYZ):
```
10
Lattice="5.170 0.009 -0.017 2.593 4.483 0.003 2.569 1.510 4.768" Properties=species:S:1:pos:R:3 pbc="T T T"
O 4.303 1.305 1.087
In 7.744 4.501 2.786
O 5.816 4.419 3.658
O 4.190 4.559 1.094
O 7.057 3.087 1.065
O 3.602 2.857 3.651
Ti 2.590 1.500 0.239
Fe 2.568 1.504 4.621
Fe 5.164 3.011 2.048
O 6.040 1.769 3.596
```

Output
Energy, eV/atom: -6.93
SG: P1
Calculated volume, Å³ per atom: 11.05